# 1
The following is a DFT calculation (PBE-GGA) of a relaxed CsRbMgSn crystal.

For the formation energy, the calculation gives 0.032 eV/atom.

Cell and atoms, written as POSCAR:
```
CsRbMgSn
1.0
-4.597 -3.678 1.084
0.824 -4.931 3.293
-2.323 -0.345 5.506
Cs Mg Sn Rb
1 1 1 1
direct
0.000 0.000 0.000
0.750 0.750 0.750
0.500 0.500 0.500
0.250 0.250 0.250
```

=====

# 2
The following is a DFT calculation (PBE-GGA) of a relaxed TcAgCl2 crystal.

The formation energy without anion corrections comes out at 413 meV per atom. The value obtained for the energy above the most stable polymorph in this dataset is 436 meV/atom.

Cell and atoms, written as POSCAR:
```
TcAgCl2
1.0
-2.835 0.825 -1.330
1.044 -3.848 -4.613
-1.879 -3.045 2.115
Tc Ag Cl
1 1 2
direct
0.500 0.000 0.500
0.000 0.500 0.500
0.000 0.000 0.000
0.500 0.500 0.000
```

=====

# 3
The following is a DFT calculation (PBE-GGA) of a relaxed TiPdAu crystal.

For the formation energy, the calculation gives -0.427 eV/atom.

Cell and atoms, written as POSCAR:
```
TiPdAu
1.0
-1.576 -2.172 -0.868
-0.825 -1.103 4.257
-2.720 2.832 -2.145
Au Pd Ti
1 1 1
direct
0.340 0.667 0.333
0.906 0.000 0.000
0.753 0.333 0.667
```

=====

# 4
The following is a DFT calculation (PBE-GGA) of a relaxed KCF3 crystal.

The formation energy without anion corrections comes out at -867 meV per atom. The value obtained for the energy above the most stable polymorph in this dataset is 0 meV/atom.

Cell and atoms, written as POSCAR:
```
KCF3
1.0
-0.608 2.507 2.973
2.321 -2.181 2.314
3.121 2.110 -1.141
K C F
1 1 3
direct
0.500 0.500 0.500
0.000 0.000 0.000
0.000 0.500 0.000
0.000 0.000 0.500
0.500 0.000 0.000
```

=====

The records above give, respectively, size of the total moment values of 0.000, 3.480, 0.001, 0.000 μB per formula unit.